CaLa2Gd (PBE, relaxed); relative energy among the computed polymorphs = 0.077 eV/atom; mass density = 5.264 g cm⁻³
1.0
-0.464 0.389 3.594
-3.071 -1.167 1.577
4.265 -11.933 3.689
Ca Gd La
1 1 2
Direct
0.000 0.000 0.000
0.500 0.500 0.500
0.091 0.091 0.726
0.909 0.909 0.274

CaLa2Gd (PBE, relaxed); relative energy among the computed polymorphs = 0.055 eV/atom; mass density = 5.309 g cm⁻³
1.0
4.083 0.000 0.000
0.000 6.033 0.000
0.000 0.000 6.033
Ca Gd La
1 1 2
Direct
0.500 0.500 0.500
0.500 0.000 0.000
0.000 0.000 0.500
0.000 0.500 0.000

CaLa2Gd (PBE, relaxed); relative energy among the computed polymorphs = 0.000 eV/atom; mass density = 5.326 g cm⁻³
1.0
-0.409 3.641 -0.632
-2.480 0.201 2.762
7.898 2.091 6.938
Ca Gd La
1 1 2
Direct
0.500 0.500 0.500
0.500 0.500 0.000
0.000 0.000 0.767
0.000 0.000 0.233

CaLa2Gd (PBE, relaxed); relative energy among the computed polymorphs = 0.059 eV/atom; mass density = 5.331 g cm⁻³
1.0
-0.876 -0.987 5.789
1.504 -5.227 2.381
4.641 -0.358 3.686
Ca Gd La
1 1 2
Direct
0.500 0.500 0.500
0.000 0.000 0.000
0.250 0.250 0.250
0.750 0.750 0.750

LiCaLaGd (PBE, relaxed); mass density = 4.286 g cm⁻³
1.0
5.729 0.000 0.000
2.864 4.961 0.000
2.864 1.654 4.678
Ca Gd Li La
1 1 1 1
Direct
0.750 0.750 0.750
0.500 0.500 0.500
0.000 0.000 0.000
0.250 0.250 0.250

CaLaPmGd (PBE, relaxed); mass density = 5.542 g cm⁻³
1.0
-5.006 1.522 2.696
-5.171 -1.792 -2.165
-3.146 -4.059 2.875
Ca Gd La Pm
1 1 1 1
Direct
0.250 0.250 0.250
0.750 0.750 0.750
0.500 0.500 0.500
0.000 0.000 0.000

SrCaLaGd (PBE, relaxed); mass density = 4.368 g cm⁻³
1.0
-1.806 -5.456 -2.068
1.224 -1.643 -5.754
4.127 -4.361 -1.119
Sr Ca Gd La
1 1 1 1
Direct
0.250 0.250 0.250
0.000 0.000 0.000
0.500 0.500 0.500
0.750 0.750 0.750

CaLaGdTl (PBE, relaxed); mass density = 7.017 g cm⁻³
1.0
5.656 0.000 0.000
2.828 4.898 0.000
2.828 1.633 4.618
Tl Gd Ca La
1 1 1 1
Direct
0.000 0.000 0.000
0.750 0.750 0.750
0.500 0.500 0.500
0.250 0.250 0.250

CaLaGdY (PBE, relaxed); mass density = 4.972 g cm⁻³
1.0
5.856 0.000 0.000
2.928 5.071 0.000
2.928 1.690 4.781
Y Ca Gd La
1 1 1 1
Direct
0.250 0.250 0.250
0.500 0.500 0.500
0.000 0.000 0.000
0.750 0.750 0.750

LiCaGd2 (PBE, relaxed); relative energy among the computed polymorphs = 0.128 eV/atom; mass density = 4.716 g cm⁻³
1.0
3.487 0.000 0.000
1.743 3.020 0.000
1.743 1.007 12.090
Ca Gd Li
1 2 1
Direct
0.000 0.000 0.000
0.093 0.093 0.721
0.907 0.907 0.279
0.500 0.500 0.500

LiCaGd2 (PBE, relaxed); relative energy among the computed polymorphs = 0.083 eV/atom; mass density = 4.742 g cm⁻³
1.0
-3.793 -0.058 1.570
-1.583 -3.559 -3.958
1.417 -4.262 3.265
Ca Gd Li
1 2 1
Direct
0.500 0.000 0.000
0.000 0.000 0.500
0.000 0.500 0.000
0.500 0.500 0.500

LiCaGd2 (PBE, relaxed); relative energy among the computed polymorphs = 0.000 eV/atom; mass density = 4.799 g cm⁻³
1.0
-3.078 -1.089 -1.795
2.071 -2.098 -2.278
-0.835 -6.966 5.657
Ca Gd Li
1 2 1
Direct
0.500 0.500 0.500
0.000 0.000 0.803
0.000 0.000 0.197
0.500 0.500 0.000

Energy? In order: -6.365, -6.387, -6.442, -6.383, -5.533, -6.326, -5.507, -5.950, -6.745, -7.762, -7.807, -7.890 eV/atom.